Density functional theory data (GGA-PBE) for a relaxed La2SmHo2Tm crystal.

Summary:
The volume is 33.3 Å³ per atom. The formation energy is 0.066 eV/atom. The space-group type is Pmma. The density of states at the Fermi level is 19.54 states/eV/cell. For the size of the total moment, the calculation gives 0.000 μB/atom.

a b c (Å): 5.7107 7.0895 9.8664
angles (deg): 90.00 90.00 90.00
Atoms (fractional coordinates):
La 0.5000 0.0075 0.9998
La 0.0000 0.2573 0.1809
La 0.5000 0.5075 0.0002
La 0.0000 0.7573 0.8191
Sm 0.5000 0.2578 0.6573
Sm 0.5000 0.7578 0.3427
Ho 0.0000 0.2574 0.8343
Ho 0.5000 0.2577 0.3342
Ho 0.0000 0.7574 0.1657
Ho 0.5000 0.7577 0.6658
Tm 0.0000 0.0077 0.5001
Tm 0.0000 0.5077 0.4999